{
  "formula": "Cu3Tc",
  "functional": "PBE-GGA",
  "state": "optimized geometry",
  "cell": [[4.2836, 0.0000, 0.0000], [0.0000, 5.4518, 0.0000], [0.0000, 0.0000, 4.4141]],
  "species": ["Cu", "Cu", "Cu", "Cu", "Cu", "Cu", "Tc", "Tc"],
  "frac_coords": [[0.2500, 0.0011, 0.1766], [0.2500, 0.2500, 0.6837], [0.2500, 0.4989, 0.1766], [0.7500, 0.5011, 0.8234], [0.7500, 0.7500, 0.3163], [0.7500, 0.9989, 0.8234], [0.2500, 0.7500, 0.6773], [0.7500, 0.2500, 0.3227]],
  "total_energy_ev_per_atom": -5.322,
  "magmom_total_mub_per_cell": 3.94,
  "e_form_ev_per_atom": 0.34,
  "space_group": "Pmmn, No. 59",
  "n_ef_per_ev_atom": 0.52
}